Entry 1:
First-principles (PBE) data for a relaxed structure of GaRe2Ag, as listed in Alexandria. Values from VASP.

Output
Crystal system ... tetragonal
Space group ... I-42d (122)
E_form ... 1031 meV/atom
V ... 136 Å³/cell

The structure in Quantum ESPRESSO input format:
```
&SYSTEM
  ibrav = 0, nat = 8, ntyp = 3
/
ATOMIC_SPECIES
Ga 69.72 Ga.upf
Re 186.21 Re.upf
Ag 107.87 Ag.upf
CELL_PARAMETERS angstrom
-3.678 3.678 2.521
3.678 -3.678 2.521
3.678 3.678 -2.521
ATOMIC_POSITIONS crystal
Ga 0.000 0.000 0.000
Ga 0.750 0.250 0.500
Re 0.089 0.625 0.964
Re 0.375 0.339 0.464
Re 0.661 0.125 0.036
Re 0.875 0.911 0.536
Ag 0.250 0.750 0.500
Ag 0.500 0.500 0.000
```



Entry 2:
First-principles (PBE) data for a relaxed structure of GaReAg2, as listed in Alexandria. Values from VASP.

Output
Crystal system ... triclinic
Space group ... P-1 (2)
E_form ... 166 meV/atom
V ... 132 Å³/cell

The structure in Quantum ESPRESSO input format:
```
&SYSTEM
  ibrav = 0, nat = 8, ntyp = 3
/
ATOMIC_SPECIES
Ga 69.72 Ga.upf
Re 186.21 Re.upf
Ag 107.87 Ag.upf
CELL_PARAMETERS angstrom
2.852 0.000 0.000
-1.408 4.532 0.000
-0.039 -1.401 10.195
ATOMIC_POSITIONS crystal
Ga 0.119 0.233 0.179
Ga 0.881 0.767 0.821
Re 0.376 0.754 0.045
Re 0.624 0.246 0.955
Ag 0.129 0.264 0.703
Ag 0.377 0.754 0.566
Ag 0.623 0.246 0.434
Ag 0.871 0.736 0.297
```



Entry 3:
First-principles (PBE) data for a relaxed structure of GaRe3Ag, as listed in Alexandria. Values from VASP.

Output
Crystal system ... cubic
Space group ... Pm-3m (221)
E_form ... 3035 meV/atom
V ... 110 Å³/cell

The structure in Quantum ESPRESSO input format:
```
&SYSTEM
  ibrav = 0, nat = 5, ntyp = 3
/
ATOMIC_SPECIES
Ga 69.72 Ga.upf
Re 186.21 Re.upf
Ag 107.87 Ag.upf
CELL_PARAMETERS angstrom
4.789 0.000 0.000
0.000 4.789 0.000
0.000 0.000 4.789
ATOMIC_POSITIONS crystal
Ga 0.000 0.000 0.000
Re 0.000 0.500 0.500
Re 0.500 0.000 0.500
Re 0.500 0.500 0.000
Ag 0.500 0.500 0.500
```



Entry 4:
First-principles (PBE) data for a relaxed structure of GaReAg2, as listed in Alexandria. Values from VASP.

Output
Crystal system ... monoclinic
Space group ... Pm (6)
E_form ... 320 meV/atom
V ... 65 Å³/cell

The structure in Quantum ESPRESSO input format:
```
&SYSTEM
  ibrav = 0, nat = 4, ntyp = 3
/
ATOMIC_SPECIES
Ga 69.72 Ga.upf
Re 186.21 Re.upf
Ag 107.87 Ag.upf
CELL_PARAMETERS angstrom
4.771 0.000 0.000
0.000 2.766 0.000
-1.634 0.000 4.942
ATOMIC_POSITIONS crystal
Ga 0.000 0.000 0.000
Re 0.500 0.500 0.999
Ag 0.497 0.000 0.499
Ag 0.998 0.500 0.501
```



Entry 5:
First-principles (PBE) data for a relaxed structure of GaReAg2, as listed in Alexandria. Values from VASP.

Output
Crystal system ... monoclinic
Space group ... Cm (8)
E_form ... 237 meV/atom
V ... 65 Å³/cell

The structure in Quantum ESPRESSO input format:
```
&SYSTEM
  ibrav = 0, nat = 4, ntyp = 3
/
ATOMIC_SPECIES
Ga 69.72 Ga.upf
Re 186.21 Re.upf
Ag 107.87 Ag.upf
CELL_PARAMETERS angstrom
2.434 -1.437 0.000
2.434 1.437 0.000
-1.707 0.000 9.332
ATOMIC_POSITIONS crystal
Ga 0.000 0.000 0.000
Re 0.256 0.256 0.769
Ag 0.507 0.507 0.511
Ag 0.757 0.757 0.248
```



Entry 6:
First-principles (PBE) data for a relaxed structure of Ga2ReAg2, as listed in Alexandria. Values from VASP.

Output
Crystal system ... tetragonal
Space group ... I4/mmm (139)
E_form ... 861 meV/atom
V ... 90 Å³/cell

The structure in Quantum ESPRESSO input format:
```
&SYSTEM
  ibrav = 0, nat = 5, ntyp = 3
/
ATOMIC_SPECIES
Ga 69.72 Ga.upf
Re 186.21 Re.upf
Ag 107.87 Ag.upf
CELL_PARAMETERS angstrom
-1.838 1.838 6.667
1.838 -1.838 6.667
1.838 1.838 -6.667
ATOMIC_POSITIONS crystal
Ga 0.250 0.750 0.500
Ga 0.750 0.250 0.500
Re 0.000 0.000 0.000
Ag 0.399 0.399 0.000
Ag 0.601 0.601 0.000
```



Entry 7:
First-principles (PBE) data for a relaxed structure of GaReAg, as listed in Alexandria. Values from VASP.

Output
Crystal system ... tetragonal
Space group ... P4/nmm (129)
E_form ... 10 meV/atom
V ... 97 Å³/cell

The structure in Quantum ESPRESSO input format:
```
&SYSTEM
  ibrav = 0, nat = 6, ntyp = 3
/
ATOMIC_SPECIES
Ga 69.72 Ga.upf
Re 186.21 Re.upf
Ag 107.87 Ag.upf
CELL_PARAMETERS angstrom
2.938 0.000 0.000
0.000 2.938 0.000
0.000 0.000 11.250
ATOMIC_POSITIONS crystal
Ga 0.250 0.250 0.230
Ga 0.750 0.750 0.770
Re 0.250 0.250 0.929
Re 0.750 0.750 0.071
Ag 0.250 0.250 0.594
Ag 0.750 0.750 0.406
```



Entry 8:
First-principles (PBE) data for a relaxed structure of GaReAg2, as listed in Alexandria. Values from VASP.

Output
Crystal system ... triclinic
Space group ... P1 (1)
E_form ... 244 meV/atom
V ... 140 Å³/cell

The structure in Quantum ESPRESSO input format:
```
&SYSTEM
  ibrav = 0, nat = 8, ntyp = 3
/
ATOMIC_SPECIES
Ga 69.72 Ga.upf
Re 186.21 Re.upf
Ag 107.87 Ag.upf
CELL_PARAMETERS angstrom
4.566 0.000 0.000
2.238 4.042 0.000
0.640 0.060 7.572
ATOMIC_POSITIONS crystal
Ga 0.000 0.000 0.000
Ga 0.446 0.993 0.330
Re 0.107 0.669 0.314
Re 0.784 0.333 0.293
Ag 0.030 0.027 0.649
Ag 0.333 0.347 0.990
Ag 0.374 0.366 0.628
Ag 0.677 0.699 0.822
```



Entry 9:
First-principles (PBE) data for a relaxed structure of GaReAg2, as listed in Alexandria. Values from VASP.

Output
Crystal system ... triclinic
Space group ... P-1 (2)
E_form ... 224 meV/atom
V ... 132 Å³/cell

The structure in Quantum ESPRESSO input format:
```
&SYSTEM
  ibrav = 0, nat = 8, ntyp = 3
/
ATOMIC_SPECIES
Ga 69.72 Ga.upf
Re 186.21 Re.upf
Ag 107.87 Ag.upf
CELL_PARAMETERS angstrom
3.953 0.000 0.000
1.947 4.260 0.000
1.969 0.884 7.839
ATOMIC_POSITIONS crystal
Ga 0.124 0.428 0.321
Ga 0.876 0.572 0.679
Re 0.368 0.813 0.462
Re 0.632 0.187 0.538
Ag 0.111 0.965 0.806
Ag 0.372 0.323 0.932
Ag 0.628 0.677 0.068
Ag 0.889 0.035 0.194
```



Entry 10:
First-principles (PBE) data for a relaxed structure of GaReAgS2, as listed in Alexandria. Values from VASP.

Output
Crystal system ... tetragonal
VASP energy ... -24.71 eV/cell
Space group ... P4/mmm (123)
V ... 107 Å³/cell

The structure in Quantum ESPRESSO input format:
```
&SYSTEM
  ibrav = 0, nat = 5, ntyp = 4
/
ATOMIC_SPECIES
Ga 69.72 Ga.upf
Re 186.21 Re.upf
Ag 107.87 Ag.upf
S 32.06 S.upf
CELL_PARAMETERS angstrom
4.544 0.000 0.000
0.000 4.544 0.000
0.000 0.000 5.198
ATOMIC_POSITIONS crystal
Ga 0.000 0.000 0.000
Re 0.000 0.000 0.500
Ag 0.500 0.500 0.000
S 0.000 0.500 0.500
S 0.500 0.000 0.500
```



Entry 11:
First-principles (PBE) data for a relaxed structure of GaRe2TcAg, as listed in Alexandria. Values from VASP.

Output
Crystal system ... tetragonal
Space group ... P4/mmm (123)
E_form ... 2606 meV/atom
V ... 103 Å³/cell

The structure in Quantum ESPRESSO input format:
```
&SYSTEM
  ibrav = 0, nat = 5, ntyp = 4
/
ATOMIC_SPECIES
Ga 69.72 Ga.upf
Re 186.21 Re.upf
Tc 98.00 Tc.upf
Ag 107.87 Ag.upf
CELL_PARAMETERS angstrom
4.835 0.000 0.000
0.000 4.835 0.000
0.000 0.000 4.406
ATOMIC_POSITIONS crystal
Ga 0.000 0.000 0.000
Re 0.000 0.500 0.500
Re 0.500 0.000 0.500
Tc 0.500 0.500 0.000
Ag 0.000 0.000 0.500
```



Entry 12:
First-principles (PBE) data for a relaxed structure of GaReAgW2, as listed in Alexandria. Values from VASP.

Output
Crystal system ... tetragonal
Space group ... P4/mmm (123)
E_form ... 1990 meV/atom
V ... 95 Å³/cell

The structure in Quantum ESPRESSO input format:
```
&SYSTEM
  ibrav = 0, nat = 5, ntyp = 4
/
ATOMIC_SPECIES
Ga 69.72 Ga.upf
Re 186.21 Re.upf
Ag 107.87 Ag.upf
W 183.84 W.upf
CELL_PARAMETERS angstrom
4.630 0.000 0.000
0.000 4.630 0.000
0.000 0.000 4.409
ATOMIC_POSITIONS crystal
Ga 0.000 0.000 0.000
Re 0.500 0.500 0.500
Ag 0.000 0.000 0.500
W 0.000 0.500 0.000
W 0.500 0.000 0.000
```



no.,magnetization (μB per cell),N(E_F) (states/eV per cell)
1,0.0,6.621
2,0.0,2.799
3,4.4,5.994
4,0.0,2.004
5,0.0,1.643
6,2.4,2.808
7,0.0,2.821
8,0.0,1.972
9,0.0,3.402
10,0.0,3.561
11,4.1,7.435
12,1.2,3.035